{
  "formula": "Sc2CrF",
  "functional": "PBE with a Hubbard U",
  "state": "optimized geometry",
  "rho_g_cm3": 3.4,
  "e_tot_ev_per_cell": -23.1,
  "magnetic_moment_mub_per_fu": 4.33,
  "spacegroup": "Fm-3m",
  "lattice": [[0.0000, 3.4050, 3.4050], [3.4050, 0.0000, 3.4050], [3.4050, 3.4050, 0.0000]],
  "species": ["Sc", "Sc", "Cr", "F"],
  "frac_coords": [[0.2500, 0.2500, 0.2500], [0.7500, 0.7500, 0.7500], [0.0000, 0.0000, 0.0000], [0.5000, 0.5000, 0.5000]]
}